# 1
Density functional theory data (GGA-PBE) for a relaxed structure of InAgSO.

Calculated values
Energy above the most stable polymorph in this dataset (eV/atom): 0.045

Cell and atoms, written as CIF:
```
data_InAgSO
_symmetry_space_group_name_H-M 'P m c 21'
_symmetry_Int_Tables_number 26
_symmetry_space_group_name_Hall 'P 2c -2'
_cell_length_a 3.898
_cell_length_b 6.915
_cell_length_c 6.113
_cell_angle_alpha 90.00
_cell_angle_beta 90.00
_cell_angle_gamma 90.00
loop_
_atom_site_label
_atom_site_fract_x
_atom_site_fract_y
_atom_site_fract_z
In1 0.000 0.142 0.000
Ag1 0.500 0.307 0.543
S1 0.500 0.333 0.130
O1 0.000 0.125 0.659
```

=====

# 2
Density functional theory data (GGA-PBE) for a relaxed structure of ZrZnGaFe.

Calculated values
Energy above the most stable polymorph in this dataset (eV/atom): 0.025
Magnetization (μB/cell): 7.94

Cell and atoms, written as CIF:
```
data_ZrZnGaFe
_symmetry_space_group_name_H-M 'F -4 3 m'
_symmetry_Int_Tables_number 216
_symmetry_space_group_name_Hall 'F -4 2 3'
_cell_length_a 6.318
_cell_length_b 6.318
_cell_length_c 6.318
_cell_angle_alpha 90.00
_cell_angle_beta 90.00
_cell_angle_gamma 90.00
loop_
_atom_site_label
_atom_site_fract_x
_atom_site_fract_y
_atom_site_fract_z
Zr1 0.000 0.000 0.000
Zn1 0.250 0.250 0.750
Ga1 0.250 0.250 0.250
Fe1 0.000 0.000 0.500
```

=====

# 3
Density functional theory data (GGA-PBE) for a relaxed structure of SmNb2O6.

Calculated values
Final energy (Ry per atom): -0.648
Magnetization (μB/cell): 0.70

Cell and atoms, written as CIF:
```
data_SmNb2O6
_symmetry_space_group_name_H-M 'C 1 2/c 1'
_symmetry_Int_Tables_number 15
_symmetry_space_group_name_Hall '-C 2yc'
_cell_length_a 15.349
_cell_length_b 5.204
_cell_length_c 5.361
_cell_angle_alpha 90.00
_cell_angle_beta 96.67
_cell_angle_gamma 90.00
loop_
_atom_site_label
_atom_site_fract_x
_atom_site_fract_y
_atom_site_fract_z
Sm1 0.000 0.249 0.250
Nb1 0.176 0.207 0.730
O1 0.079 0.415 0.619
O2 0.101 0.055 0.983
O3 0.234 0.495 0.467
```

=====

# 4
Density functional theory data (GGA-PBE) for a relaxed structure of NaCdBiPd.

Calculated values
Energy above the most stable polymorph in this dataset (eV/atom): 0.067

Cell and atoms, written as CIF:
```
data_NaCdBiPd
_symmetry_space_group_name_H-M 'F -4 3 m'
_symmetry_Int_Tables_number 216
_symmetry_space_group_name_Hall 'F -4 2 3'
_cell_length_a 7.091
_cell_length_b 7.091
_cell_length_c 7.091
_cell_angle_alpha 90.00
_cell_angle_beta 90.00
_cell_angle_gamma 90.00
loop_
_atom_site_label
_atom_site_fract_x
_atom_site_fract_y
_atom_site_fract_z
Na1 0.000 0.000 0.000
Cd1 0.250 0.250 0.750
Bi1 0.000 0.000 0.500
Pd1 0.250 0.250 0.250
```

=====

# 5
Density functional theory data (GGA-PBE) for a relaxed structure of PaSn.

Calculated values
Final energy (Ry per atom): -0.423
Magnetization (μB/cell): 4.00

Cell and atoms, written as CIF:
```
data_PaSn
_symmetry_space_group_name_H-M 'F -4 3 m'
_symmetry_Int_Tables_number 216
_symmetry_space_group_name_Hall 'F -4 2 3'
_cell_length_a 6.958
_cell_length_b 6.958
_cell_length_c 6.958
_cell_angle_alpha 90.00
_cell_angle_beta 90.00
_cell_angle_gamma 90.00
loop_
_atom_site_label
_atom_site_fract_x
_atom_site_fract_y
_atom_site_fract_z
Pa1 0.000 0.000 0.000
Sn1 0.250 0.250 0.750
```

=====

# 6
Density functional theory data (GGA-PBE) for a relaxed structure of BaSi3Ir4.

Calculated values
Final energy (Ry per atom): -0.517
Magnetization (μB/cell): 0.01

Cell and atoms, written as CIF:
```
data_BaSi3Ir4
_symmetry_space_group_name_H-M 'P 1 m 1'
_symmetry_Int_Tables_number 6
_symmetry_space_group_name_Hall 'P -2y'
_cell_length_a 5.390
_cell_length_b 3.621
_cell_length_c 8.067
_cell_angle_alpha 90.00
_cell_angle_beta 109.38
_cell_angle_gamma 90.00
loop_
_atom_site_label
_atom_site_fract_x
_atom_site_fract_y
_atom_site_fract_z
Ba1 0.000 0.000 0.000
Si1 0.438 0.500 0.869
Si2 0.513 0.000 0.319
Si3 0.956 0.500 0.527
Ir1 0.246 0.500 0.361
Ir2 0.300 0.000 0.673
Ir3 0.649 0.500 0.183
Ir4 0.746 0.000 0.612
```

=====

Please write out number 1 again, unchanged.
Density functional theory data (GGA-PBE) for a relaxed structure of InAgSO.

Calculated values
Energy above the most stable polymorph in this dataset (eV/atom): 0.045

Cell and atoms, written as CIF:
```
data_InAgSO
_symmetry_space_group_name_H-M 'P m c 21'
_symmetry_Int_Tables_number 26
_symmetry_space_group_name_Hall 'P 2c -2'
_cell_length_a 3.898
_cell_length_b 6.915
_cell_length_c 6.113
_cell_angle_alpha 90.00
_cell_angle_beta 90.00
_cell_angle_gamma 90.00
loop_
_atom_site_label
_atom_site_fract_x
_atom_site_fract_y
_atom_site_fract_z
In1 0.000 0.142 0.000
Ag1 0.500 0.307 0.543
S1 0.500 0.333 0.130
O1 0.000 0.125 0.659
```